Computed, not measured: Ca2MnAs after structural relaxation at the PBE level of DFT.

## Properties
- DFT formation energy (eV/f.u.) = -0.6
- density of states at the Fermi level (states/eV per cell) = 4.68
- spin magnetization (μB per formula unit) = 2.863
- crystal system = tetragonal
- SG = P4mm

Cell: 3.5074 3.5074 8.2822 Å, 90.00 90.00 90.00°
Positions (direct):
As 0.5000 0.5000 0.6758
Mn 0.0000 0.0000 0.5786
Ca 0.0000 0.0000 0.9332
Ca 0.5000 0.5000 0.3124